This record from Alexandria via LeMat-Bulk describes an optimized crystal structure of BaTaP. The functional is PBE.

E_form (eV/atom): -0.026
Total magnetization (μB per atom): 0.08
Total energy (eV/atom): -6.42
Relative energy among the computed polymorphs (meV per atom): 701

Unit cell a=3.6854 b=3.6854 c=6.6617 alpha=90.00 beta=90.00 gamma=120.00
Site moments in Bohr magnetons follow the coordinates.
Element x y z (fractional)
Ba: 0.0000 0.0000 0.0450  0.03
P: 0.6667 0.3333 0.3850  0.00
Ta: 0.3333 0.6667 0.5700  0.09


This record from Alexandria via LeMat-Bulk describes an optimized crystal structure of BaTa2P. The functional is PBE.

E_form (eV/atom): 0.954
Total magnetization (μB per atom): 0.00
Total energy (eV/atom): -6.81

Unit cell a=4.5324 b=4.3047 c=4.3047 alpha=90.00 beta=90.00 gamma=90.00
Element x y z (fractional)
Ba: 0.5000 0.5000 0.0000
P: 0.5000 0.0000 0.5000
Ta: 0.0000 0.0000 0.0000
Ta: 0.0000 0.5000 0.5000


This record from Alexandria via LeMat-Bulk describes an optimized crystal structure of BaTaP. The functional is PBE.

E_form (eV/atom): -0.181
Total magnetization (μB per atom): 0.00
Total energy (eV/atom): -6.58
Relative energy among the computed polymorphs (meV per atom): 546

Unit cell a=6.6528 b=6.6530 c=3.4815 alpha=74.83 beta=74.83 gamma=30.34
Element x y z (fractional)
Ba: 0.0062 0.0062 0.9938
P: 0.2719 0.2719 0.7281
Ta: 0.7219 0.7219 0.2781


This record from Alexandria via LeMat-Bulk describes an optimized crystal structure of BaTaP2. The functional is PBE.

E_form (eV/atom): -0.497
Total magnetization (μB per atom): 0.00
Total energy (eV/atom): -6.65
Relative energy among the computed polymorphs (meV per atom): 239

Unit cell a=4.2850 b=3.8909 c=7.0099 alpha=73.89 beta=90.00 gamma=90.00
Element x y z (fractional)
Ba: 0.5000 0.6668 0.7910
P: 0.0000 0.0448 0.0361
P: 0.5000 0.3536 0.4170
Ta: 0.0000 0.4348 0.2560


This record from Alexandria via LeMat-Bulk describes an optimized crystal structure of BaTa2P. The functional is PBE.

E_form (eV/atom): 0.798
Total magnetization (μB per atom): 0.00
Total energy (eV/atom): -6.96

Unit cell a=4.8923 b=5.8416 c=3.5359 alpha=72.66 beta=89.37 gamma=114.54
Element x y z (fractional)
Ba: 0.0000 0.5000 0.5000
P: 0.5000 0.5000 0.0000
Ta: 0.0000 0.0000 0.0000
Ta: 0.5000 0.0000 0.5000


This record from Alexandria via LeMat-Bulk describes an optimized crystal structure of BaTaP2. The functional is PBE.

E_form (eV/atom): -0.713
Total magnetization (μB per atom): 0.00
Total energy (eV/atom): -6.86
Relative energy among the computed polymorphs (meV per atom): 24

Unit cell a=3.7565 b=3.7565 c=7.7245 alpha=75.90 beta=75.90 gamma=59.99
Element x y z (fractional)
Ba: 0.2460 0.2460 0.2616
P: 0.0208 0.0208 0.9375
P: 0.8140 0.8140 0.5579
Ta: 0.4193 0.4193 0.7430


This record from Alexandria via LeMat-Bulk describes an optimized crystal structure of BaTa2P. The functional is PBE.

E_form (eV/atom): 1.197
Total magnetization (μB per atom): 0.00
Total energy (eV/atom): -6.56

Unit cell a=5.8770 b=5.8770 c=2.9097 alpha=90.00 beta=90.00 gamma=118.18
Element x y z (fractional)
Ba: 0.5000 0.0000 0.5000
P: 0.0000 0.5000 0.5000
Ta: 0.0000 0.0000 0.0000
Ta: 0.5000 0.5000 0.0000


This record from Alexandria via LeMat-Bulk describes an optimized crystal structure of BaTaP4. The functional is PBE.

E_form (eV/atom): 0.538
Total magnetization (μB per atom): 0.27
Total energy (eV/atom): -5.36

Unit cell a=5.5042 b=5.5042 c=5.5042 alpha=60.00 beta=60.00 gamma=60.00
Site moments in Bohr magnetons follow the coordinates.
Element x y z (fractional)
Ba: 0.0000 0.0000 0.0000  0.10
Ta: 0.7500 0.7500 0.7500  1.02
P: 0.8299 0.3900 0.3900  0.00
P: 0.3900 0.3900 0.8299  0.00
P: 0.3900 0.8299 0.3900  0.00
P: 0.3900 0.3900 0.3900  0.00


This record from Alexandria via LeMat-Bulk describes an optimized crystal structure of BaTa2P. The functional is PBE.

E_form (eV/atom): 0.980
Total magnetization (μB per atom): 0.00
Total energy (eV/atom): -6.78

Unit cell a=5.5506 b=5.5506 c=5.5506 alpha=134.72 beta=134.72 gamma=65.97
Element x y z (fractional)
Ba: 0.2500 0.7500 0.5000
P: 0.7500 0.2500 0.5000
Ta: 0.0000 0.0000 0.0000
Ta: 0.5000 0.5000 0.0000


This record from Alexandria via LeMat-Bulk describes an optimized crystal structure of BaTa2P. The functional is PBE.

E_form (eV/atom): 0.231
Total magnetization (μB per atom): 0.00
Total energy (eV/atom): -7.53

Unit cell a=8.1328 b=8.1328 c=8.1328 alpha=156.31 beta=152.36 gamma=36.72
Element x y z (fractional)
Ba: 0.4329 0.4329 0.0000
P: 0.2314 0.7314 0.5000
Ta: 0.1054 0.1054 0.0000
Ta: 0.7303 0.2303 0.5000


This record from Alexandria via LeMat-Bulk describes an optimized crystal structure of BaTa2P. The functional is PBE.

E_form (eV/atom): 0.510
Total magnetization (μB per atom): 0.00
Total energy (eV/atom): -7.25

Unit cell a=5.0234 b=5.0234 c=9.7501 alpha=75.07 beta=75.07 gamma=90.00
Element x y z (fractional)
P: 0.5000 0.5000 0.0000
P: 0.2500 0.7500 0.5000
Ba: 0.0000 0.0000 0.0000
Ba: 0.7500 0.2500 0.5000
Ta: 0.3748 0.1250 0.2500
Ta: 0.3752 0.6250 0.2500
Ta: 0.3750 0.6252 0.7500
Ta: 0.8750 0.6248 0.7500


This record from Alexandria via LeMat-Bulk describes an optimized crystal structure of BaTa2P. The functional is PBE.

E_form (eV/atom): 0.100
Total magnetization (μB per atom): 0.00
Total energy (eV/atom): -7.66

Unit cell a=4.6675 b=4.6675 c=7.0816 alpha=76.92 beta=76.92 gamma=42.38
Element x y z (fractional)
Ba: 0.5479 0.5479 0.4837
P: 0.2509 0.2509 0.1227
Ta: 0.9763 0.9763 0.0348
Ta: 0.7250 0.7250 0.8588


DOS(E_F) values, unit states/eV/atom, following the record order: 0.76, 1.19, 0.48, 0.82, 0.89, 0.60, 1.23, 0.89, 0.97, 1.10, 0.93, 1.03.